(1)
# SmIn6Ir4 (GGA-PBE, optimized geometry)
data_SmIn6Ir4
_chemical_formula_sum 'Sm2 In12 Ir8'
_space_group_name_H-M_alt 'I -4 2 m'
_space_group_IT_number 121
_space_group_name_Hall 'I -4 2'
_cell_length_a 6.966
_cell_length_b 6.966
_cell_length_c 10.063
_cell_angle_alpha 90.00
_cell_angle_beta 90.00
_cell_angle_gamma 90.00
loop_
_atom_site_label
_atom_site_type_symbol
_atom_site_fract_x
_atom_site_fract_y
_atom_site_fract_z
Sm1 Sm 0.000 0.000 0.000
In1 In 0.000 0.500 0.000
In2 In 0.175 0.175 0.291
Ir1 Ir 0.178 0.178 0.572
# * total magnetization: 0.00 μB/f.u.
# * calculated total energy: -5.400 eV/atom
# * ΔH_f (0 K): -0.2547 eV per atom

---

(2)
# TiIn2Cl4F2 (GGA-PBE, optimized geometry)
data_TiIn2Cl4F2
_chemical_formula_sum 'Ti2 In4 Cl8 F4'
_space_group_name_H-M_alt 'C 1 2/m 1'
_space_group_IT_number 12
_cell_length_a 11.401
_cell_length_b 7.113
_cell_length_c 5.795
_cell_angle_alpha 90.00
_cell_angle_beta 103.63
_cell_angle_gamma 90.00
loop_
_space_group_symop_operation_xyz
'x,y,z'
'-x,-y,-z'
'-x,y,-z'
'x,-y,z'
'x+1/2,y+1/2,z'
'-x+1/2,-y+1/2,-z'
'-x+1/2,y+1/2,-z'
'x+1/2,-y+1/2,z'
loop_
_atom_site_label
_atom_site_type_symbol
_atom_site_fract_x
_atom_site_fract_y
_atom_site_fract_z
Ti1 Ti 0.000 0.000 0.000
In1 In 0.200 0.500 0.277
Cl1 Cl 0.095 0.238 0.818
F1 F 0.131 0.000 0.261
# * total magnetization: 0.00 μB/f.u.
# * calculated total energy: -4.455 eV/atom

---

(3)
# Sr3P3Pd2 (GGA-PBE, optimized geometry)
data_Sr3P3Pd2
_chemical_formula_sum 'Sr12 P12 Pd8'
_space_group_name_H-M_alt 'C m c m'
_space_group_IT_number 63
_space_group_name_Hall '-C 2c 2'
_cell_length_a 4.317
_cell_length_b 11.462
_cell_length_c 14.799
_cell_angle_alpha 90.00
_cell_angle_beta 90.00
_cell_angle_gamma 90.00
loop_
_atom_site_label
_atom_site_type_symbol
_atom_site_fract_x
_atom_site_fract_y
_atom_site_fract_z
Sr1 Sr 0.000 0.078 0.106
Sr2 Sr 0.000 0.352 0.250
P1 P 0.000 0.338 0.750
P2 P 0.000 0.357 0.043
Pd1 Pd 0.000 0.218 0.591
# * energy above the most stable polymorph in this dataset: 109 meV per atom
# * total magnetization: 0.00 μB/f.u.
# * calculated total energy: -4.833 eV/atom
# * ΔH_f (0 K): -0.8751 eV per atom

---

(4)
# Pr2ErAg (GGA-PBE, optimized geometry)
data_Pr2ErAg
_chemical_formula_sum 'Pr6 Er3 Ag3'
_space_group_name_H-M_alt 'R -3 m'
_space_group_IT_number 166
_space_group_name_Hall '-R 3 2"'
_cell_length_a 3.6479
_cell_length_b 3.6479
_cell_length_c 32.2012
_cell_angle_alpha 90.00
_cell_angle_beta 90.00
_cell_angle_gamma 120.00
loop_
_atom_site_label
_atom_site_type_symbol
_atom_site_fract_x
_atom_site_fract_y
_atom_site_fract_z
Pr1 Pr 0.0000 0.0000 0.2428
Er1 Er 0.0000 0.0000 0.0000
Ag1 Ag 0.0000 0.0000 0.5000
# * energy above the most stable polymorph in this dataset: 87 meV per atom
# * total magnetization: 0.00 μB/f.u.
# * calculated total energy: -4.243 eV/atom
# * ΔH_f (0 K): 0.0001 eV per atom

---

(5)
# Er3Sc2Bi4 (GGA-PBE, optimized geometry)
data_Er3Sc2Bi4
_chemical_formula_sum 'Er6 Sc4 Bi8'
_space_group_name_H-M_alt 'C 1 2/m 1'
_space_group_IT_number 12
_cell_length_a 14.685
_cell_length_b 4.380
_cell_length_c 9.895
_cell_angle_alpha 90.00
_cell_angle_beta 125.84
_cell_angle_gamma 90.00
loop_
_space_group_symop_operation_xyz
'x,y,z'
'-x,-y,-z'
'-x,y,-z'
'x,-y,z'
'x+1/2,y+1/2,z'
'-x+1/2,-y+1/2,-z'
'-x+1/2,y+1/2,-z'
'x+1/2,-y+1/2,z'
loop_
_atom_site_label
_atom_site_type_symbol
_atom_site_fract_x
_atom_site_fract_y
_atom_site_fract_z
Er1 Er 0.000 0.000 0.000
Er2 Er 0.145 0.500 0.700
Sc1 Sc 0.183 0.500 0.359
Bi1 Bi 0.055 0.000 0.382
Bi2 Bi 0.173 0.500 0.055
# * total magnetization: 0.00 μB/f.u.
# * calculated total energy: -5.252 eV/atom
# * ΔH_f (0 K): -0.5993 eV per atom

---

(6)
# Ce7Zn2Os2 (GGA-PBE, optimized geometry)
data_Ce7Zn2Os2
_chemical_formula_sum 'Ce14 Zn4 Os4'
_space_group_name_H-M_alt 'C m m m'
_space_group_IT_number 65
_space_group_name_Hall '-C 2 2'
_cell_length_a 7.931
_cell_length_b 10.754
_cell_length_c 6.687
_cell_angle_alpha 90.00
_cell_angle_beta 90.00
_cell_angle_gamma 90.00
loop_
_atom_site_label
_atom_site_type_symbol
_atom_site_fract_x
_atom_site_fract_y
_atom_site_fract_z
Ce1 Ce 0.000 0.000 0.000
Ce2 Ce 0.000 0.500 0.287
Ce3 Ce 0.250 0.250 0.278
Zn1 Zn 0.154 0.000 0.500
Os1 Os 0.000 0.292 0.000
# * total magnetization: 2.19 μB/f.u.
# * calculated total energy: -6.116 eV/atom
# * ΔH_f (0 K): -0.0661 eV per atom

---

(7)
# MgPaNb2N4 (GGA-PBE, optimized geometry)
data_MgPaNb2N4
_chemical_formula_sum 'Mg2 Pa2 Nb4 N8'
_space_group_name_H-M_alt 'I 4/m m m'
_space_group_IT_number 139
_space_group_name_Hall '-I 4 2'
_cell_length_a 4.590
_cell_length_b 4.590
_cell_length_c 9.109
_cell_angle_alpha 90.00
_cell_angle_beta 90.00
_cell_angle_gamma 90.00
loop_
_atom_site_label
_atom_site_type_symbol
_atom_site_fract_x
_atom_site_fract_y
_atom_site_fract_z
Mg1 Mg 0.000 0.000 0.000
Pa1 Pa 0.000 0.000 0.500
Nb1 Nb 0.000 0.500 0.250
N1 N 0.000 0.000 0.240
N2 N 0.000 0.500 0.000
# * total magnetization: 0.00 μB/f.u.
# * calculated total energy: -9.160 eV/atom

---

(8)
# AcSmLuCd (GGA-PBE, optimized geometry)
data_AcSmLuCd
_chemical_formula_sum 'Ac4 Sm4 Lu4 Cd4'
_space_group_name_H-M_alt 'F -4 3 m'
_space_group_IT_number 216
_space_group_name_Hall 'F -4 2 3'
_cell_length_a 8.006
_cell_length_b 8.006
_cell_length_c 8.006
_cell_angle_alpha 90.00
_cell_angle_beta 90.00
_cell_angle_gamma 90.00
loop_
_atom_site_label
_atom_site_type_symbol
_atom_site_fract_x
_atom_site_fract_y
_atom_site_fract_z
Ac1 Ac 0.000 0.000 0.000
Sm1 Sm 0.000 0.000 0.500
Lu1 Lu 0.250 0.250 0.250
Cd1 Cd 0.250 0.250 0.750
# * total magnetization: 0.00 μB/f.u.
# * calculated total energy: -3.590 eV/atom
# * ΔH_f (0 K): -0.0238 eV per atom

---

(9)
# FeRuW2 (GGA-PBE, optimized geometry)
data_FeRuW2
_chemical_formula_sum 'Fe2 Ru2 W4'
_space_group_name_H-M_alt 'I -4 m 2'
_space_group_IT_number 119
_space_group_name_Hall 'I -4 -2'
_cell_length_a 3.797
_cell_length_b 3.797
_cell_length_c 7.944
_cell_angle_alpha 90.00
_cell_angle_beta 90.00
_cell_angle_gamma 90.00
loop_
_atom_site_label
_atom_site_type_symbol
_atom_site_fract_x
_atom_site_fract_y
_atom_site_fract_z
Fe1 Fe 0.000 0.000 0.000
Ru1 Ru 0.000 0.500 0.750
W1 W 0.000 0.000 0.500
W2 W 0.000 0.500 0.250
# * energy above the most stable polymorph in this dataset: 78 meV per atom
# * total magnetization: 0.00 μB/f.u.
# * calculated total energy: -10.722 eV/atom
# * ΔH_f (0 K): 0.1897 eV per atom

---

(10)
# Tb6Dy5Tm2 (GGA-PBE, optimized geometry)
data_Tb6Dy5Tm2
_chemical_formula_sum 'Tb12 Dy10 Tm4'
_space_group_name_H-M_alt 'P b a m'
_space_group_IT_number 55
_cell_length_a 11.542
_cell_length_b 20.172
_cell_length_c 3.557
_cell_angle_alpha 90.00
_cell_angle_beta 90.00
_cell_angle_gamma 90.00
loop_
_space_group_symop_operation_xyz
'x,y,z'
'-x,-y,-z'
'-x,-y,z'
'x,y,-z'
'x+1/2,-y+1/2,-z'
'-x+1/2,y+1/2,z'
'-x+1/2,y+1/2,-z'
'x+1/2,-y+1/2,z'
loop_
_atom_site_label
_atom_site_type_symbol
_atom_site_fract_x
_atom_site_fract_y
_atom_site_fract_z
Tb1 Tb 0.059 0.081 0.000
Tb2 Tb 0.083 0.368 0.000
Tb3 Tb 0.172 0.637 0.500
Dy1 Dy 0.000 0.500 0.500
Dy2 Dy 0.089 0.227 0.500
Dy3 Dy 0.198 0.948 0.500
Tm1 Tm 0.167 0.791 0.000
# * total magnetization: 0.00 μB/f.u.
# * calculated total energy: -4.496 eV/atom
# * ΔH_f (0 K): 0.0992 eV per atom

---

(11)
# Zn2CoRe (GGA-PBE, optimized geometry)
data_Zn2CoRe
_chemical_formula_sum 'Zn4 Co2 Re2'
_space_group_name_H-M_alt 'C m m m'
_space_group_IT_number 65
_space_group_name_Hall '-C 2 2'
_cell_length_a 5.243
_cell_length_b 8.010
_cell_length_c 2.595
_cell_angle_alpha 90.00
_cell_angle_beta 90.00
_cell_angle_gamma 90.00
loop_
_atom_site_label
_atom_site_type_symbol
_atom_site_fract_x
_atom_site_fract_y
_atom_site_fract_z
Zn1 Zn 0.250 0.250 0.000
Co1 Co 0.000 0.000 0.500
Re1 Re 0.000 0.500 0.500
# * energy above the most stable polymorph in this dataset: 212 meV per atom
# * total magnetization: 1.80 μB/f.u.
# * calculated total energy: -5.296 eV/atom
# * ΔH_f (0 K): 0.2299 eV per atom

---

(12)
# Ga6Pt5Au (GGA-PBE, optimized geometry)
data_Ga6Pt5Au
_chemical_formula_sum 'Ga12 Pt10 Au2'
_space_group_name_H-M_alt 'C 1 2/m 1'
_space_group_IT_number 12
_cell_length_a 5.638
_cell_length_b 10.313
_cell_length_c 7.217
_cell_angle_alpha 90.00
_cell_angle_beta 101.10
_cell_angle_gamma 90.00
loop_
_space_group_symop_operation_xyz
'x,y,z'
'-x,-y,-z'
'-x,y,-z'
'x,-y,z'
'x+1/2,y+1/2,z'
'-x+1/2,-y+1/2,-z'
'-x+1/2,y+1/2,-z'
'x+1/2,-y+1/2,z'
loop_
_atom_site_label
_atom_site_type_symbol
_atom_site_fract_x
_atom_site_fract_y
_atom_site_fract_z
Ga1 Ga 0.154 0.000 0.189
Ga2 Ga 0.203 0.190 0.707
Pt1 Pt 0.000 0.000 0.500
Pt2 Pt 0.000 0.223 0.000
Pt3 Pt 0.000 0.373 0.500
Au1 Au 0.000 0.500 0.000
# * total magnetization: 0.00 μB/f.u.
# * calculated total energy: -4.720 eV/atom
# * ΔH_f (0 K): -0.4166 eV per atom